[1]
First-principles (PBE-GGA) data for crystalline ErGa4Co2Ru at its relaxed geometry, as listed in Alexandria.

```
ErGa4Co2Ru
1.0
4.0912 0.0000 0.0000
2.0456 3.5431 0.0000
2.0456 1.1810 8.5586
Er Ga Co Ru
1 4 2 1
direct
0.0000 0.0000 0.0000 Er
0.4010 0.4010 0.7970 Ga
0.8709 0.8709 0.3873 Ga
0.1291 0.1291 0.6127 Ga
0.5990 0.5990 0.2030 Ga
0.7620 0.7620 0.7139 Co
0.2380 0.2380 0.2861 Co
0.5000 0.5000 0.5000 Ru
```

Crystal system: trigonal
Formation enthalpy at 0 K: -0.370 eV per atom

[2]
First-principles (PBE-GGA) data for crystalline PmCuGe2 at its relaxed geometry, as listed in Alexandria.

```
PmCuGe2
1.0
4.2138 0.0000 0.0000
0.0000 4.3106 0.0000
0.0000 0.0000 4.3106
Ge Cu Pm
2 1 1
direct
0.0000 0.0000 0.5000 Ge
0.0000 0.5000 0.0000 Ge
0.5000 0.0000 0.0000 Cu
0.5000 0.5000 0.5000 Pm
```

Crystal system: tetragonal
E above lowest polymorph: 231 meV per atom
Formation enthalpy at 0 K: -0.346 eV per atom

[3]
First-principles (PBE-GGA) data for crystalline HoCdIn2 at its relaxed geometry, as listed in Alexandria.

```
HoCdIn2
1.0
-1.6712 -2.7992 -1.5911
-0.6966 -1.4359 3.2578
-6.6525 3.8226 0.2624
Cd Ho In
1 1 2
direct
0.5000 0.5000 0.5000 Cd
0.5000 0.5000 0.0000 Ho
0.0000 0.0000 0.7349 In
0.0000 0.0000 0.2651 In
```

Crystal system: tetragonal
Formation enthalpy at 0 K: -0.184 eV per atom

[4]
First-principles (PBE-GGA) data for crystalline La12TlCo6 at its relaxed geometry, as listed in Alexandria.

```
La12TlCo6
1.0
-7.3084 2.3565 4.2956
-2.0614 -5.6710 -6.4038
5.5973 -3.8208 5.6116
La Tl Co
12 1 6
direct
0.3118 0.1212 0.8094 La
0.3118 0.5025 0.1906 La
0.6882 0.4975 0.8094 La
0.6882 0.8788 0.1906 La
0.1212 0.8094 0.3118 La
0.5025 0.1906 0.3118 La
0.4975 0.8094 0.6882 La
0.8788 0.1906 0.6882 La
0.8094 0.3118 0.1212 La
0.1906 0.3118 0.5025 La
0.8094 0.6882 0.4975 La
0.1906 0.6882 0.8788 La
0.0000 0.0000 0.0000 Tl
0.3823 0.5000 0.8823 Co
0.6177 0.5000 0.1177 Co
0.5000 0.8823 0.3823 Co
0.5000 0.1177 0.6177 Co
0.8823 0.3823 0.5000 Co
0.1177 0.6177 0.5000 Co
```

Crystal system: cubic
Formation enthalpy at 0 K: -0.170 eV per atom

[5]
First-principles (PBE-GGA) data for crystalline TaHgAs2Br at its relaxed geometry, as listed in Alexandria.

```
TaHgAs2Br
1.0
-4.7134 1.8466 0.4286
-1.8942 -4.6324 -0.8732
0.0775 -1.0231 5.2597
As Hg Br Ta
2 1 1 1
direct
0.0000 0.5000 0.0000 As
0.5000 0.0000 0.0000 As
0.0000 0.0000 0.0000 Hg
0.0000 0.0000 0.5000 Br
0.5000 0.5000 0.5000 Ta
```

Crystal system: tetragonal
E above lowest polymorph: 1382 meV per atom
Formation energy from raw total energies: 1.5095 eV per atom

[6]
First-principles (PBE-GGA) data for crystalline LiMg2Ir at its relaxed geometry, as listed in Alexandria.

```
LiMg2Ir
1.0
-1.4791 2.0849 -1.9217
-2.5395 -1.9774 -0.1906
-5.2499 1.0079 5.1344
Ir Li Mg
1 1 2
direct
0.5000 0.2500 0.2500 Ir
0.5000 0.7500 0.7500 Li
0.0000 0.9671 0.0319 Mg
0.0000 0.5329 0.4681 Mg
```

Crystal system: monoclinic
Formation enthalpy at 0 K: -0.251 eV per atom

[7]
First-principles (PBE-GGA) data for crystalline Er3Cu2Ni4 at its relaxed geometry, as listed in Alexandria.

```
Er3Cu2Ni4
1.0
4.1029 0.0000 0.0000
-2.0514 4.5714 -1.1196
0.0000 0.4485 7.9761
Er Cu Ni
3 2 4
direct
0.3800 0.7601 0.6253 Er
0.0000 0.0000 0.0000 Er
0.6200 0.2399 0.3747 Er
0.3060 0.6121 0.2325 Cu
0.6940 0.3879 0.7675 Cu
0.7282 0.4564 0.0800 Ni
0.0873 0.1745 0.6322 Ni
0.9127 0.8255 0.3678 Ni
0.2718 0.5436 0.9200 Ni
```

Crystal system: monoclinic
Formation enthalpy at 0 K: -0.387 eV per atom

[8]
First-principles (PBE-GGA) data for crystalline RbPrSe2 at its relaxed geometry, as listed in Alexandria.

```
RbPrSe2
1.0
-3.7408 -0.9033 -2.1073
-0.2207 -3.4557 -2.6944
-3.6993 -6.1704 4.6445
Rb Pr Se
1 1 2
direct
0.4979 0.4979 0.5064 Rb
0.6674 0.6674 0.9979 Pr
0.0677 0.0677 0.7969 Se
0.2670 0.2670 0.1989 Se
```

Crystal system: trigonal
Formation energy from raw total energies: -1.7093 eV per atom

no.,magnetization (μB per formula unit)
1,0.000
2,0.000
3,0.298
4,0.001
5,1.922
6,0.000
7,0.000
8,0.000